Density functional theory data (PBE) for SnBS2N after structural relaxation.

Values from the calculation:
As for the calculated total energy: -26.04 eV/cell. The value obtained for the uncorrected formation energy is 1.22 eV/f.u. The space group is P4/mmm.

a = 5.575 Å, b = 5.575 Å, c = 2.709 Å
α = 90.00°, β = 90.00°, γ = 90.00°
Element x y z (fractional)
Sn: 0.000 0.000 0.000
B: 0.500 0.500 0.500
S: 0.000 0.500 0.500
S: 0.500 0.000 0.500
N: 0.500 0.500 0.000

***

Density functional theory data (PBE) for CaEu2Mg after structural relaxation.

Values from the calculation:
As for the calculated total energy: -24.09 eV/cell. The formation energy comes out at 15 meV/atom. The space group is Fm-3m.

a = 5.944 Å, b = 5.944 Å, c = 5.944 Å
α = 60.00°, β = 60.00°, γ = 60.00°
Element x y z (fractional)
Ca: 0.000 0.000 0.000
Eu: 0.250 0.250 0.250
Eu: 0.750 0.750 0.750
Mg: 0.500 0.500 0.500

***

Density functional theory data (PBE) for ReMo after structural relaxation.

Values from the calculation:
As for the calculated total energy: -45.60 eV/cell. The formation energy comes out at 239 meV/atom. The space group is Pmmn.

a = 2.758 Å, b = 4.617 Å, c = 4.868 Å
α = 90.00°, β = 90.00°, γ = 90.00°
Element x y z (fractional)
Re: 0.250 0.250 0.081
Re: 0.750 0.750 0.919
Mo: 0.250 0.750 0.416
Mo: 0.750 0.250 0.584

***

Density functional theory data (PBE) for ReTe2Ir after structural relaxation.

Values from the calculation:
As for the calculated total energy: -24.49 eV/cell. The value obtained for the uncorrected formation energy is 3.10 eV/f.u. The space group is Fm-3m.

a = 4.737 Å, b = 4.737 Å, c = 4.737 Å
α = 60.00°, β = 60.00°, γ = 60.00°
Element x y z (fractional)
Re: 0.000 0.000 0.000
Te: 0.250 0.250 0.250
Te: 0.750 0.750 0.750
Ir: 0.500 0.500 0.500

***

The records above give, respectively, total moment values of 0.0 15.2 0.0 0.0 μB/f.u..
The records above give, respectively, distance to the lowest polymorph of the same formula values of 0.0 44.6 146.4 555.0 meV per atom.